[1]
The following is a PBE calculation of a geometry-optimized DyYSc2Sb2 structure, from OQMD via LeMat-Bulk.

a b c (Å): 8.703 8.703 8.703
angles (deg): 151.11 151.11 41.31
Element x y z (fractional)
Dy (0.000, 0.000, 0.000)
Y (0.648, 0.648, 0.000)
Sc (0.325, 0.825, 0.500)
Sc (0.825, 0.325, 0.500)
Sb (0.193, 0.193, 0.000)
Sb (0.456, 0.456, 0.000)

Output
E: -6.1716 eV/atom


[2]
The following is a PBE calculation of a geometry-optimized DyZr2ScSb2 structure, from OQMD via LeMat-Bulk.

a b c (Å): 8.684 8.684 8.684
angles (deg): 151.86 151.86 40.22
Element x y z (fractional)
Dy (0.000, 0.000, 0.000)
Zr (0.179, 0.679, 0.500)
Zr (0.679, 0.179, 0.500)
Sc (0.351, 0.351, 0.000)
Sb (0.541, 0.541, 0.000)
Sb (0.814, 0.814, 0.000)

Output
E: -6.8042 eV/atom


[3]
The following is a PBE calculation of a geometry-optimized DySiSb structure, from OQMD via LeMat-Bulk.

a b c (Å): 4.937 4.937 4.937
angles (deg): 60.00 60.00 60.00
Element x y z (fractional)
Dy (0.000, 0.000, 0.000)
Si (0.250, 0.250, 0.250)
Sb (0.750, 0.750, 0.750)

Output
E: -4.7307 eV/atom


[4]
The following is a PBE calculation of a geometry-optimized DySiSb structure, from OQMD via LeMat-Bulk.

a b c (Å): 4.829 4.829 4.829
angles (deg): 60.00 60.00 60.00
Element x y z (fractional)
Dy (0.000, 0.000, 0.000)
Si (0.250, 0.250, 0.250)
Sb (0.500, 0.500, 0.500)

Output
E: -4.8412 eV/atom


[5]
The following is a PBE calculation of a geometry-optimized SmDy3Sb4 structure, from OQMD via LeMat-Bulk.

a b c (Å): 6.228 6.228 6.228
angles (deg): 90.00 90.00 90.00
Element x y z (fractional)
Sm (0.000, 0.000, 0.000)
Dy (0.000, 0.500, 0.500)
Dy (0.500, 0.000, 0.500)
Dy (0.500, 0.500, 0.000)
Sb (0.000, 0.000, 0.500)
Sb (0.000, 0.500, 0.000)
Sb (0.500, 0.000, 0.000)
Sb (0.500, 0.500, 0.500)

Output
E: -5.5158 eV/atom


[6]
The following is a PBE calculation of a geometry-optimized SmDySb2 structure, from OQMD via LeMat-Bulk.

a b c (Å): 4.424 4.424 6.256
angles (deg): 90.00 90.00 90.00
Element x y z (fractional)
Sm (0.000, 0.000, 0.000)
Dy (0.500, 0.500, 0.500)
Sb (0.000, 0.000, 0.500)
Sb (0.500, 0.500, 0.000)

Output
E: -5.5409 eV/atom